Computed, not measured: a geometry-optimized La3SmDy6Ho2 structure at the PBE level of DFT.

Calculated values
D(E_F)   16.38 states/eV/cell
Density   7880 kg/m³
V   32.9 A^3/atom
E_form   21 meV/atom

a = 6.2389 Å, b = 6.2389 Å, c = 11.8868 Å
α = 95.02°, β = 95.02°, γ = 120.01°
Fractional positions:
Ho 0.6668 0.3332 0.0000
Ho 0.3332 0.6668 0.0000
Dy 0.9187 0.5848 0.7555
Dy 0.5848 0.9187 0.7555
Dy 0.7474 0.7474 0.2446
Dy 0.4152 0.0813 0.2445
Dy 0.2526 0.2526 0.7554
Dy 0.0813 0.4152 0.2445
Sm 0.0000 0.0000 0.0000
La 0.5000 0.5000 0.5000
La 0.8332 0.1668 0.5000
La 0.1668 0.8332 0.5000